CrCoAs after structural relaxation. Source: Alexandria via LeMat-Bulk, functional PBE-GGA.

The structure in CIF format:
```
data_CrCoAs
_cell_length_a 2.847
_cell_length_b 3.661
_cell_length_c 7.308
_cell_angle_alpha 90.00
_cell_angle_beta 90.00
_cell_angle_gamma 90.00
_space_group_name_H-M_alt 'I m m 2'
_space_group_IT_number 44
loop_
_space_group_symop_operation_xyz
'x,y,z'
'-x,-y,z'
'-x,y,z'
'x,-y,z'
'x+1/2,y+1/2,z+1/2'
'-x+1/2,-y+1/2,z+1/2'
'-x+1/2,y+1/2,z+1/2'
'x+1/2,-y+1/2,z+1/2'
loop_
_atom_site_label
_atom_site_fract_x
_atom_site_fract_y
_atom_site_fract_z
Cr1 0.000 0.000 0.000
Co1 0.000 0.000 0.341
As1 0.000 0.000 0.669
```

Values from the calculation:
The value obtained for the magnetic moment is 0.67 μB per atom.

---

CrCoAs2 after structural relaxation. Source: Alexandria via LeMat-Bulk, functional PBE-GGA.

The structure in CIF format:
```
data_CrCoAs2
_cell_length_a 3.018
_cell_length_b 3.018
_cell_length_c 5.852
_cell_angle_alpha 90.00
_cell_angle_beta 90.00
_cell_angle_gamma 90.00
_space_group_name_H-M_alt 'P 4/m m m'
_space_group_IT_number 123
_space_group_name_Hall '-P 4 2'
loop_
_atom_site_label
_atom_site_fract_x
_atom_site_fract_y
_atom_site_fract_z
Cr1 0.000 0.000 0.000
Co1 0.000 0.000 0.500
As1 0.500 0.500 0.245
```

Values from the calculation:
The calculation puts the distance to the lowest polymorph of the same formula at 0.162 eV/atom. The value obtained for the magnetic moment is 0.40 μB per atom.

---

CrCo2As after structural relaxation. Source: Alexandria via LeMat-Bulk, functional PBE-GGA.

The structure in CIF format:
```
data_CrCo2As
_cell_length_a 2.876
_cell_length_b 2.876
_cell_length_c 5.799
_cell_angle_alpha 90.00
_cell_angle_beta 90.00
_cell_angle_gamma 90.00
_space_group_name_H-M_alt 'P 4 m m'
_space_group_IT_number 99
loop_
_space_group_symop_operation_xyz
'x,y,z'
'-y,x,z'
'-x,-y,z'
'y,-x,z'
'-x,y,z'
'y,x,z'
'x,-y,z'
'-y,-x,z'
loop_
_atom_site_label
_atom_site_fract_x
_atom_site_fract_y
_atom_site_fract_z
Cr1 0.000 0.000 0.000
Co1 0.000 0.000 0.504
Co2 0.500 0.500 0.761
As1 0.500 0.500 0.269
```

Values from the calculation:
The value obtained for the magnetic moment is 0.58 μB per atom.

---

CrCo3As after structural relaxation. Source: Alexandria via LeMat-Bulk, functional PBE-GGA.

The structure in CIF format:
```
data_CrCo3As
_cell_length_a 4.199
_cell_length_b 4.199
_cell_length_c 4.199
_cell_angle_alpha 90.00
_cell_angle_beta 90.00
_cell_angle_gamma 90.00
_space_group_name_H-M_alt 'P m -3 m'
_space_group_IT_number 221
_space_group_name_Hall '-P 4 2 3'
loop_
_atom_site_label
_atom_site_fract_x
_atom_site_fract_y
_atom_site_fract_z
Cr1 0.000 0.000 0.000
Co1 0.000 0.000 0.500
As1 0.500 0.500 0.500
```

Values from the calculation:
The calculation puts the distance to the lowest polymorph of the same formula at 0.000 eV/atom. The value obtained for the magnetic moment is 0.12 μB per atom.

---

CrCo3As after structural relaxation. Source: Alexandria via LeMat-Bulk, functional PBE-GGA.

The structure in CIF format:
```
data_CrCo3As
_cell_length_a 4.223
_cell_length_b 4.223
_cell_length_c 4.223
_cell_angle_alpha 90.00
_cell_angle_beta 90.00
_cell_angle_gamma 90.00
_space_group_name_H-M_alt 'P m -3 m'
_space_group_IT_number 221
_space_group_name_Hall '-P 4 2 3'
loop_
_atom_site_label
_atom_site_fract_x
_atom_site_fract_y
_atom_site_fract_z
Cr1 0.000 0.000 0.000
Co1 0.000 0.500 0.500
As1 0.500 0.500 0.500
```

Values from the calculation:
The calculation puts the distance to the lowest polymorph of the same formula at 0.023 eV/atom. The value obtained for the magnetic moment is 0.16 μB per atom.

---

CrCoAs after structural relaxation. Source: Alexandria via LeMat-Bulk, functional PBE-GGA.

The structure in CIF format:
```
data_CrCoAs
_cell_length_a 3.9629
_cell_length_b 3.9629
_cell_length_c 2.8178
_cell_angle_alpha 90.00
_cell_angle_beta 90.00
_cell_angle_gamma 120.00
_space_group_name_H-M_alt 'P -6 m 2'
_space_group_IT_number 187
_space_group_name_Hall 'P -6 2'
loop_
_atom_site_label
_atom_site_fract_x
_atom_site_fract_y
_atom_site_fract_z
Cr1 0.0000 0.0000 0.0000
Co1 0.6667 0.3333 0.5000
As1 0.3333 0.6667 0.5000
```

Values from the calculation:
The value obtained for the magnetic moment is 0.82 μB per atom.

---

CrCo2As after structural relaxation. Source: Alexandria via LeMat-Bulk, functional PBE-GGA.

The structure in CIF format:
```
data_CrCo2As
_cell_length_a 2.653
_cell_length_b 3.784
_cell_length_c 4.944
_cell_angle_alpha 90.00
_cell_angle_beta 105.06
_cell_angle_gamma 90.00
_space_group_name_H-M_alt 'P 1 2/m 1'
_space_group_IT_number 10
loop_
_space_group_symop_operation_xyz
'x,y,z'
'-x,-y,-z'
'-x,y,-z'
'x,-y,z'
loop_
_atom_site_label
_atom_site_fract_x
_atom_site_fract_y
_atom_site_fract_z
Cr1 0.000 0.000 0.000
Co1 0.383 0.500 0.751
As1 0.000 0.000 0.500
```

Values from the calculation:
The value obtained for the magnetic moment is 0.05 μB per atom.

---

CrCo2As after structural relaxation. Source: Alexandria via LeMat-Bulk, functional PBE-GGA.

The structure in CIF format:
```
data_CrCo2As
_cell_length_a 2.988
_cell_length_b 2.988
_cell_length_c 5.533
_cell_angle_alpha 90.00
_cell_angle_beta 90.00
_cell_angle_gamma 90.00
_space_group_name_H-M_alt 'P 4/m m m'
_space_group_IT_number 123
_space_group_name_Hall '-P 4 2'
loop_
_atom_site_label
_atom_site_fract_x
_atom_site_fract_y
_atom_site_fract_z
Cr1 0.000 0.000 0.000
Co1 0.500 0.500 0.250
As1 0.000 0.000 0.500
```

Values from the calculation:
The value obtained for the magnetic moment is 1.11 μB per atom.

---

CrCo2As after structural relaxation. Source: Alexandria via LeMat-Bulk, functional PBE-GGA.

The structure in CIF format:
```
data_CrCo2As
_cell_length_a 3.756
_cell_length_b 2.679
_cell_length_c 9.638
_cell_angle_alpha 90.00
_cell_angle_beta 90.00
_cell_angle_gamma 90.00
_space_group_name_H-M_alt 'A m m 2'
_space_group_IT_number 38
loop_
_space_group_symop_operation_xyz
'x,y,z'
'-x,-y,z'
'-x,y,z'
'x,-y,z'
'x,y+1/2,z+1/2'
'-x,-y+1/2,z+1/2'
'-x,y+1/2,z+1/2'
'x,-y+1/2,z+1/2'
loop_
_atom_site_label
_atom_site_fract_x
_atom_site_fract_y
_atom_site_fract_z
Cr1 0.000 0.000 0.000
Co1 0.000 0.000 0.753
Co2 0.500 0.000 0.366
As1 0.500 0.000 0.615
```

Values from the calculation:
The value obtained for the magnetic moment is 0.15 μB per atom.

---

CrCoAs2 after structural relaxation. Source: Alexandria via LeMat-Bulk, functional PBE-GGA.

The structure in CIF format:
```
data_CrCoAs2
_cell_length_a 6.287
_cell_length_b 3.619
_cell_length_c 5.818
_cell_angle_alpha 90.00
_cell_angle_beta 110.88
_cell_angle_gamma 90.00
_space_group_name_H-M_alt 'C 1 2/m 1'
_space_group_IT_number 12
loop_
_space_group_symop_operation_xyz
'x,y,z'
'-x,-y,-z'
'-x,y,-z'
'x,-y,z'
'x+1/2,y+1/2,z'
'-x+1/2,-y+1/2,-z'
'-x+1/2,y+1/2,-z'
'x+1/2,-y+1/2,z'
loop_
_atom_site_label
_atom_site_fract_x
_atom_site_fract_y
_atom_site_fract_z
Cr1 0.000 0.000 0.000
Co1 0.000 0.500 0.500
As1 0.241 0.000 0.723
```

Values from the calculation:
The calculation puts the distance to the lowest polymorph of the same formula at 0.113 eV/atom. The value obtained for the magnetic moment is 0.83 μB per atom.

---

CrCoAs2 after structural relaxation. Source: Alexandria via LeMat-Bulk, functional PBE-GGA.

The structure in CIF format:
```
data_CrCoAs2
_cell_length_a 2.903
_cell_length_b 2.903
_cell_length_c 7.697
_cell_angle_alpha 90.00
_cell_angle_beta 90.00
_cell_angle_gamma 90.00
_space_group_name_H-M_alt 'P 4 m m'
_space_group_IT_number 99
loop_
_space_group_symop_operation_xyz
'x,y,z'
'-y,x,z'
'-x,-y,z'
'y,-x,z'
'-x,y,z'
'y,x,z'
'x,-y,z'
'-y,-x,z'
loop_
_atom_site_label
_atom_site_fract_x
_atom_site_fract_y
_atom_site_fract_z
Cr1 0.000 0.000 0.000
Co1 0.500 0.500 0.793
As1 0.000 0.000 0.620
As2 0.500 0.500 0.204
```

Values from the calculation:
The calculation puts the distance to the lowest polymorph of the same formula at 0.103 eV/atom. The value obtained for the magnetic moment is 0.78 μB per atom.

---

CrCoAs4 after structural relaxation. Source: Alexandria via LeMat-Bulk, functional PBE-GGA.

The structure in CIF format:
```
data_CrCoAs4
_cell_length_a 7.709
_cell_length_b 7.709
_cell_length_c 7.709
_cell_angle_alpha 90.00
_cell_angle_beta 90.00
_cell_angle_gamma 90.00
_space_group_name_H-M_alt 'F -4 3 m'
_space_group_IT_number 216
_space_group_name_Hall 'F -4 2 3'
loop_
_atom_site_label
_atom_site_fract_x
_atom_site_fract_y
_atom_site_fract_z
Cr1 0.000 0.000 0.000
Co1 0.250 0.250 0.250
As1 0.124 0.124 0.624
```

Values from the calculation:
The value obtained for the magnetic moment is 1.06 μB per atom.

---

CrCo2As after structural relaxation. Source: Alexandria via LeMat-Bulk, functional PBE-GGA.

The structure in CIF format:
```
data_CrCo2As
_cell_length_a 3.628
_cell_length_b 3.628
_cell_length_c 7.101
_cell_angle_alpha 90.00
_cell_angle_beta 90.00
_cell_angle_gamma 90.00
_space_group_name_H-M_alt 'I -4 m 2'
_space_group_IT_number 119
_space_group_name_Hall 'I -4 -2'
loop_
_atom_site_label
_atom_site_fract_x
_atom_site_fract_y
_atom_site_fract_z
Cr1 0.000 0.000 0.000
Co1 0.000 0.000 0.500
Co2 0.000 0.500 0.250
As1 0.000 0.500 0.750
```

Values from the calculation:
The value obtained for the magnetic moment is 0.31 μB per atom.

---

CrCo2As after structural relaxation. Source: Alexandria via LeMat-Bulk, functional PBE-GGA.

The structure in CIF format:
```
data_CrCo2As
_cell_length_a 3.676
_cell_length_b 3.676
_cell_length_c 3.522
_cell_angle_alpha 90.00
_cell_angle_beta 90.00
_cell_angle_gamma 90.00
_space_group_name_H-M_alt 'P 4/m m m'
_space_group_IT_number 123
_space_group_name_Hall '-P 4 2'
loop_
_atom_site_label
_atom_site_fract_x
_atom_site_fract_y
_atom_site_fract_z
Cr1 0.000 0.000 0.000
Co1 0.000 0.500 0.500
As1 0.500 0.500 0.000
```

Values from the calculation:
The value obtained for the magnetic moment is 0.74 μB per atom.

---

CrCoAs after structural relaxation. Source: Alexandria via LeMat-Bulk, functional PBE-GGA.

The structure in CIF format:
```
data_CrCoAs
_cell_length_a 2.7339
_cell_length_b 2.7339
_cell_length_c 5.8812
_cell_angle_alpha 90.00
_cell_angle_beta 90.00
_cell_angle_gamma 120.00
_space_group_name_H-M_alt 'P 3 m 1'
_space_group_IT_number 156
loop_
_space_group_symop_operation_xyz
'x,y,z'
'-y,x-y,z'
'-x+y,-x,z'
'-y,-x,z'
'-x+y,y,z'
'x,x-y,z'
loop_
_atom_site_label
_atom_site_fract_x
_atom_site_fract_y
_atom_site_fract_z
Cr1 0.0000 0.0000 0.0000
Co1 0.6667 0.3333 0.6837
As1 0.3333 0.6667 0.3472
```

Values from the calculation:
The value obtained for the magnetic moment is 0.07 μB per atom.

---

CrCoAs2 after structural relaxation. Source: Alexandria via LeMat-Bulk, functional PBE-GGA.

The structure in CIF format:
```
data_CrCoAs2
_cell_length_a 4.116
_cell_length_b 4.116
_cell_length_c 15.332
_cell_angle_alpha 90.00
_cell_angle_beta 90.00
_cell_angle_gamma 90.00
_space_group_name_H-M_alt 'I -4 2 d'
_space_group_IT_number 122
_space_group_name_Hall 'I -4 2bw'
loop_
_atom_site_label
_atom_site_fract_x
_atom_site_fract_y
_atom_site_fract_z
Cr1 0.000 0.000 0.000
Co1 0.000 0.000 0.500
As1 0.225 0.250 0.625
```

Values from the calculation:
The calculation puts the distance to the lowest polymorph of the same formula at 0.177 eV/atom. The value obtained for the magnetic moment is 0.68 μB per atom.

---

CrCoAs2 after structural relaxation. Source: Alexandria via LeMat-Bulk, functional PBE-GGA.

The structure in CIF format:
```
data_CrCoAs2
_cell_length_a 2.8254
_cell_length_b 2.8254
_cell_length_c 29.7331
_cell_angle_alpha 90.00
_cell_angle_beta 90.00
_cell_angle_gamma 120.00
_space_group_name_H-M_alt 'R 3 m'
_space_group_IT_number 160
_space_group_name_Hall 'R 3 -2"'
loop_
_atom_site_label
_atom_site_fract_x
_atom_site_fract_y
_atom_site_fract_z
Cr1 0.0000 0.0000 0.0000
Co1 0.0000 0.0000 0.2683
As1 0.0000 0.0000 0.5413
As2 0.0000 0.0000 0.7316
```

Values from the calculation:
The calculation puts the distance to the lowest polymorph of the same formula at 0.252 eV/atom. The value obtained for the magnetic moment is 0.56 μB per atom.

---

CrCo2As after structural relaxation. Source: Alexandria via LeMat-Bulk, functional PBE-GGA.

The structure in CIF format:
```
data_CrCo2As
_cell_length_a 5.690
_cell_length_b 5.690
_cell_length_c 5.690
_cell_angle_alpha 90.00
_cell_angle_beta 90.00
_cell_angle_gamma 90.00
_space_group_name_H-M_alt 'F -4 3 m'
_space_group_IT_number 216
_space_group_name_Hall 'F -4 2 3'
loop_
_atom_site_label
_atom_site_fract_x
_atom_site_fract_y
_atom_site_fract_z
Cr1 0.000 0.000 0.000
Co1 0.000 0.000 0.500
Co2 0.250 0.250 0.250
As1 0.250 0.250 0.750
```

Values from the calculation:
The value obtained for the magnetic moment is 0.00 μB per atom.

---

CrCoAs after structural relaxation. Source: Alexandria via LeMat-Bulk, functional PBE-GGA.

The structure in CIF format:
```
data_CrCoAs
_cell_length_a 2.755
_cell_length_b 2.755
_cell_length_c 9.944
_cell_angle_alpha 90.00
_cell_angle_beta 90.00
_cell_angle_gamma 90.00
_space_group_name_H-M_alt 'I 4 m m'
_space_group_IT_number 107
_space_group_name_Hall 'I 4 -2'
loop_
_atom_site_label
_atom_site_fract_x
_atom_site_fract_y
_atom_site_fract_z
Cr1 0.000 0.000 0.000
Co1 0.000 0.000 0.649
As1 0.000 0.000 0.324
```

Values from the calculation:
The value obtained for the magnetic moment is 0.00 μB per atom.

---

CrCo2As after structural relaxation. Source: Alexandria via LeMat-Bulk, functional PBE-GGA.

The structure in CIF format:
```
data_CrCo2As
_cell_length_a 8.089
_cell_length_b 2.779
_cell_length_c 4.330
_cell_angle_alpha 90.00
_cell_angle_beta 100.60
_cell_angle_gamma 90.00
_space_group_name_H-M_alt 'C 1 2/m 1'
_space_group_IT_number 12
loop_
_space_group_symop_operation_xyz
'x,y,z'
'-x,-y,-z'
'-x,y,-z'
'x,-y,z'
'x+1/2,y+1/2,z'
'-x+1/2,-y+1/2,-z'
'-x+1/2,y+1/2,-z'
'x+1/2,-y+1/2,z'
loop_
_atom_site_label
_atom_site_fract_x
_atom_site_fract_y
_atom_site_fract_z
Cr1 0.000 0.000 0.000
Co1 0.246 0.500 0.238
As1 0.000 0.500 0.500
```

Values from the calculation:
The value obtained for the magnetic moment is 0.62 μB per atom.

---

In eV/f.u., the ΔH_f (0 K) values for the records above are, in order, 0.48 0.42 0.69 5.78 5.90 -0.04 0.37 0.38 0.31 0.23 0.19 4.86 0.02 -0.06 0.75 0.48 0.78 0.31 0.61 0.33.
In eV/cell, the total DFT energy (no corrections) values for the records above are, in order, -41.79 -25.61 -27.79 -29.81 -29.69 -21.42 -28.12 -28.10 -56.34 -51.60 -25.84 -121.85 -56.94 -28.54 -20.63 -102.18 -75.73 -112.70 -41.54 -56.31.